Entry w
# OsPbO4 (PBE, optimized geometry)
# **N(E_F)**: 3.868 states/eV/f.u.
data_OsPbO4
_chemical_formula_sum 'Os2 Pb2 O8'
_cell_length_a 6.0901
_cell_length_b 5.0842
_cell_length_c 5.5174
_cell_angle_alpha 90.00
_cell_angle_beta 104.69
_cell_angle_gamma 90.00
_symmetry_space_group_name_H-M 'P 1 21/c 1'
_symmetry_Int_Tables_number 14
_symmetry_space_group_name_Hall '-P 2ybc'
loop_
_atom_site_label
_atom_site_type_symbol
_atom_site_fract_x
_atom_site_fract_y
_atom_site_fract_z
Os1 Os 0.0000 0.0000 0.0000
Pb1 Pb 0.5000 0.0000 0.5000
O1 O 0.0944 0.2105 0.3109
O2 O 0.3033 0.6188 0.5800

Entry x
# OsPbO4 (PBE, optimized geometry)
# **N(E_F)**: 1.491 states/eV/f.u.
data_OsPbO4
_chemical_formula_sum 'Os4 Pb4 O16'
_cell_length_a 7.3598
_cell_length_b 9.4837
_cell_length_c 6.3683
_cell_angle_alpha 90.00
_cell_angle_beta 120.12
_cell_angle_gamma 90.00
_symmetry_space_group_name_H-M 'C 1 2/c 1'
_symmetry_Int_Tables_number 15
_symmetry_space_group_name_Hall '-C 2yc'
loop_
_atom_site_label
_atom_site_type_symbol
_atom_site_fract_x
_atom_site_fract_y
_atom_site_fract_z
Os1 Os 0.0000 0.0051 0.2500
Pb1 Pb 0.0000 0.3651 0.7500
O1 O 0.0181 0.1347 0.9786
O2 O 0.2198 0.4596 0.5806

Most stable structure among those shown: entry x. Next: +1.9 kJ/mol of atoms.